Entry 1:
This record from Alexandria describes an optimized crystal structure of Y2TaO. The functional is PBE-GGA.

Unit cell a=4.9300 b=4.9300 c=4.9300 alpha=60.00 beta=60.00 gamma=60.00
Site moments in Bohr magnetons follow the coordinates.
Atoms (fractional coordinates):
Y1 0.7500 0.7500 0.7500  0.10
Y2 0.2500 0.2500 0.2500  0.10
Ta1 0.5000 0.5000 0.5000  0.86
O1 0.0000 0.0000 0.0000  0.03

Results
Formation energy without anion corrections, eV/atom: 0.390
Offset from the most stable computed form, eV per formula unit: 4.70



Entry 2:
This record from Alexandria describes an optimized crystal structure of Li7TlAg4. The functional is PBE-GGA.

Unit cell a=4.9466 b=7.5508 c=7.0036 alpha=67.14 beta=69.32 gamma=70.88
Atoms (fractional coordinates):
Li1 0.0728 0.5851 0.2693
Li2 0.5000 0.0000 0.0000
Li3 0.9272 0.4149 0.7307
Li4 0.2080 0.1200 0.4640
Li5 0.7512 0.2829 0.2147
Li6 0.2488 0.7171 0.7853
Li7 0.7920 0.8800 0.5360
Ag1 0.5521 0.2884 0.6073
Ag2 0.6864 0.6438 0.9835
Ag3 0.4479 0.7116 0.3927
Ag4 0.3136 0.3562 0.0165
Tl1 0.0000 0.0000 0.0000

Results
E_form, eV/atom: -0.089



Entry 3:
This record from Alexandria describes an optimized crystal structure of CaTiPb. The functional is PBE-GGA.

Unit cell a=4.3935 b=4.3935 c=8.2100 alpha=90.00 beta=90.00 gamma=90.00
Site moments in Bohr magnetons follow the coordinates.
Atoms (fractional coordinates):
Pb1 0.0000 0.5000 0.2573  -0.01
Pb2 0.5000 0.0000 0.7427  -0.01
Ca1 0.0000 0.5000 0.8425  0.01
Ca2 0.5000 0.0000 0.1575  0.01
Ti1 0.5000 0.5000 0.5000  0.98
Ti2 0.0000 0.0000 0.5000  0.98

Results
E_form, eV/atom: -0.233



Entry 4:
This record from Alexandria describes an optimized crystal structure of Ce3GeBr3. The functional is PBE-GGA.

Unit cell a=7.2412 b=7.2412 c=11.3337 alpha=71.37 beta=71.37 gamma=60.00
Site moments in Bohr magnetons follow the coordinates.
Atoms (fractional coordinates):
Br1 0.1106 0.4510 0.6682  -0.01
Br2 0.5490 0.2297 0.3318  -0.01
Br3 0.7703 0.1106 0.6682  -0.01
Br4 0.8894 0.5490 0.3318  -0.01
Br5 0.4510 0.7703 0.6682  -0.01
Br6 0.2297 0.8894 0.3318  -0.01
Ce1 0.0524 0.7253 0.8427  0.95
Ce2 0.6204 0.9476 0.1573  0.95
Ce3 0.7253 0.3796 0.8427  0.95
Ce4 0.2747 0.6204 0.1573  0.95
Ce5 0.3796 0.0524 0.8427  0.95
Ce6 0.9476 0.2747 0.1573  0.95
Ge1 0.3333 0.3333 0.0000  -0.05
Ge2 0.6667 0.6667 0.0000  -0.05

Results
Formation energy without anion corrections, eV/atom: -1.234



Entry 5:
This record from Alexandria describes an optimized crystal structure of RbCaP2. The functional is PBE-GGA.

Unit cell a=5.2645 b=5.2645 c=5.2645 alpha=60.00 beta=60.00 gamma=60.00
Atoms (fractional coordinates):
Ca1 0.0000 0.0000 0.0000
P1 0.2500 0.2500 0.2500
P2 0.7500 0.7500 0.7500
Rb1 0.5000 0.5000 0.5000

Results
E_form, eV/atom: -0.016
Offset from the most stable computed form, eV per formula unit: 0.82



Entry 6:
This record from Alexandria describes an optimized crystal structure of WBr2. The functional is PBE-GGA.

Unit cell a=3.7989 b=3.7989 c=6.5513 alpha=90.00 beta=90.00 gamma=120.00
Site moments in Bohr magnetons follow the coordinates.
Atoms (fractional coordinates):
W1 0.3333 0.6667 0.3333  1.62
Br1 0.6667 0.3333 0.5558  0.01
Br2 0.0000 0.0000 0.1109  0.01

Results
Formation energy without anion corrections, eV/atom: 0.452
Offset from the most stable computed form, eV per formula unit: 2.75